No. 1
VASP calculation (PBE) on a geometry-optimized RbTb2CuTe3Se structure.

Structure (CIF):
```
data_RbTb2CuTe3Se
_chemical_formula_sum 'Rb2 Tb4 Cu2 Te6 Se2'
_cell_length_a 7.8681
_cell_length_b 7.8681
_cell_length_c 15.1223
_cell_angle_alpha 90.00
_cell_angle_beta 90.00
_cell_angle_gamma 147.98
_symmetry_space_group_name_H-M 'P 1'
_symmetry_Int_Tables_number 1
loop_
_symmetry_equiv_pos_as_xyz
'x,y,z'
loop_
_atom_site_label
_atom_site_type_symbol
_atom_site_fract_x
_atom_site_fract_y
_atom_site_fract_z
Rb1 Rb 0.0971 0.9029 0.7500
Rb2 Rb 0.9029 0.0971 0.2500
Tb1 Tb 0.3652 0.6348 0.5721
Tb2 Tb 0.3652 0.6348 0.9279
Tb3 Tb 0.6348 0.3652 0.0721
Tb4 Tb 0.6348 0.3652 0.4279
Cu1 Cu 0.1589 0.8411 0.2500
Cu2 Cu 0.8411 0.1589 0.7500
Te1 Te 0.0000 0.0000 0.0000
Te2 Te 0.0000 0.0000 0.5000
Te3 Te 0.2695 0.7305 0.1139
Te4 Te 0.2695 0.7305 0.3861
Te5 Te 0.7305 0.2695 0.6139
Te6 Te 0.7305 0.2695 0.8861
Se1 Se 0.4259 0.5741 0.7500
Se2 Se 0.5741 0.4259 0.2500
```

Values from the calculation:
- Crystal system: orthorhombic
- Relative energy among the computed polymorphs: 0 meV per atom
- Volume: 496 Å³ per cell
- M_tot: 0.00 μB/cell
- Total energy: -4.585 eV per atom

=====

No. 2
VASP calculation (PBE) on a geometry-optimized PrBi2 structure.

Structure (CIF):
```
data_PrBi2
_chemical_formula_sum 'Pr2 Bi4'
_cell_length_a 6.5213
_cell_length_b 6.5213
_cell_length_c 6.5213
_cell_angle_alpha 60.00
_cell_angle_beta 60.00
_cell_angle_gamma 60.00
_symmetry_space_group_name_H-M 'P 1'
_symmetry_Int_Tables_number 1
loop_
_symmetry_equiv_pos_as_xyz
'x,y,z'
loop_
_atom_site_label
_atom_site_type_symbol
_atom_site_fract_x
_atom_site_fract_y
_atom_site_fract_z
Pr1 Pr 0.1250 0.1250 0.1250
Pr2 Pr 0.8750 0.8750 0.8750
Bi1 Bi 0.0000 0.5000 0.5000
Bi2 Bi 0.5000 0.0000 0.5000
Bi3 Bi 0.5000 0.5000 0.0000
Bi4 Bi 0.5000 0.5000 0.5000
```

Values from the calculation:
- Crystal system: cubic
- Volume: 196 Å³ per cell
- M_tot: 1.12 μB/cell
- Total energy: -4.535 eV per atom

=====

No. 3
VASP calculation (PBE) on a geometry-optimized SmNi2Au2 structure.

Structure (CIF):
```
data_SmNi2Au2
_chemical_formula_sum 'Sm2 Ni4 Au4'
_cell_length_a 3.9961
_cell_length_b 3.9961
_cell_length_c 11.4969
_cell_angle_alpha 90.00
_cell_angle_beta 90.00
_cell_angle_gamma 90.00
_symmetry_space_group_name_H-M 'P 1'
_symmetry_Int_Tables_number 1
loop_
_symmetry_equiv_pos_as_xyz
'x,y,z'
loop_
_atom_site_label
_atom_site_type_symbol
_atom_site_fract_x
_atom_site_fract_y
_atom_site_fract_z
Sm1 Sm 0.2500 0.2500 0.2502
Sm2 Sm 0.7500 0.7500 0.7498
Ni1 Ni 0.2500 0.2500 0.6468
Ni2 Ni 0.2500 0.7500 0.0000
Ni3 Ni 0.7500 0.2500 0.0000
Ni4 Ni 0.7500 0.7500 0.3532
Au1 Au 0.2500 0.2500 0.8602
Au2 Au 0.2500 0.7500 0.5000
Au3 Au 0.7500 0.2500 0.5000
Au4 Au 0.7500 0.7500 0.1398
```

Values from the calculation:
- Energy of formation from the pure elements: -0.315 eV per atom
- Crystal system: tetragonal
- Volume: 184 Å³ per cell
- M_tot: 0.04 μB/cell
- Total energy: -4.791 eV per atom

=====

No. 4
VASP calculation (PBE) on a geometry-optimized YAgTePbSe2 structure.

Structure (CIF):
```
data_YAgTePbSe2
_chemical_formula_sum 'Y2 Ag2 Te2 Pb2 Se4'
_cell_length_a 7.3924
_cell_length_b 7.3924
_cell_length_c 11.2252
_cell_angle_alpha 90.00
_cell_angle_beta 90.00
_cell_angle_gamma 147.20
_symmetry_space_group_name_H-M 'P 1'
_symmetry_Int_Tables_number 1
loop_
_symmetry_equiv_pos_as_xyz
'x,y,z'
loop_
_atom_site_label
_atom_site_type_symbol
_atom_site_fract_x
_atom_site_fract_y
_atom_site_fract_z
Y1 Y 0.0000 0.0000 0.0000
Y2 Y 0.0000 0.0000 0.5000
Ag1 Ag 0.4715 0.5285 0.7500
Ag2 Ag 0.5285 0.4715 0.2500
Te1 Te 0.1042 0.8958 0.7500
Te2 Te 0.8958 0.1042 0.2500
Pb1 Pb 0.2168 0.7832 0.2500
Pb2 Pb 0.7832 0.2168 0.7500
Se1 Se 0.3642 0.6358 0.5573
Se2 Se 0.3642 0.6358 0.9427
Se3 Se 0.6358 0.3642 0.0573
Se4 Se 0.6358 0.3642 0.4427
```

Values from the calculation:
- Crystal system: orthorhombic
- Volume: 332 Å³ per cell
- M_tot: 0.00 μB/cell
- Total energy: -4.734 eV per atom

=====

No. 5
VASP calculation (PBE) on a geometry-optimized TbMoAu structure.

Structure (CIF):
```
data_TbMoAu
_chemical_formula_sum 'Tb1 Mo1 Au1'
_cell_length_a 4.6613
_cell_length_b 4.6613
_cell_length_c 4.6613
_cell_angle_alpha 60.00
_cell_angle_beta 60.00
_cell_angle_gamma 60.00
_symmetry_space_group_name_H-M 'P 1'
_symmetry_Int_Tables_number 1
loop_
_symmetry_equiv_pos_as_xyz
'x,y,z'
loop_
_atom_site_label
_atom_site_type_symbol
_atom_site_fract_x
_atom_site_fract_y
_atom_site_fract_z
Tb1 Tb 0.0000 0.0000 0.0000
Mo1 Mo 0.7500 0.7500 0.7500
Au1 Au 0.5000 0.5000 0.5000
```

Values from the calculation:
- Energy of formation from the pure elements: 0.633 eV per atom
- Crystal system: cubic
- Volume: 72 Å³ per cell
- M_tot: 2.85 μB/cell
- Total energy: -5.615 eV per atom

=====

No. 6
VASP calculation (PBE) on a geometry-optimized YFeMoPb structure.

Structure (CIF):
```
data_YFeMoPb
_chemical_formula_sum 'Y1 Fe1 Mo1 Pb1'
_cell_length_a 4.7703
_cell_length_b 4.7703
_cell_length_c 4.7703
_cell_angle_alpha 60.00
_cell_angle_beta 60.00
_cell_angle_gamma 60.00
_symmetry_space_group_name_H-M 'P 1'
_symmetry_Int_Tables_number 1
loop_
_symmetry_equiv_pos_as_xyz
'x,y,z'
loop_
_atom_site_label
_atom_site_type_symbol
_atom_site_fract_x
_atom_site_fract_y
_atom_site_fract_z
Y1 Y 0.0000 0.0000 0.0000
Fe1 Fe 0.5000 0.5000 0.5000
Mo1 Mo 0.7500 0.7500 0.7500
Pb1 Pb 0.2500 0.2500 0.2500
```

Values from the calculation:
- Crystal system: cubic
- Relative energy among the computed polymorphs: 107 meV per atom
- Volume: 77 Å³ per cell
- M_tot: 3.18 μB/cell
- Total energy: -6.704 eV per atom

=====

No. 7
VASP calculation (PBE) on a geometry-optimized Nd2I structure.

Structure (CIF):
```
data_Nd2I
_chemical_formula_sum 'Nd2 I1'
_cell_length_a 3.9694
_cell_length_b 3.9694
_cell_length_c 7.6094
_cell_angle_alpha 90.00
_cell_angle_beta 90.00
_cell_angle_gamma 120.00
_symmetry_space_group_name_H-M 'P 1'
_symmetry_Int_Tables_number 1
loop_
_symmetry_equiv_pos_as_xyz
'x,y,z'
loop_
_atom_site_label
_atom_site_type_symbol
_atom_site_fract_x
_atom_site_fract_y
_atom_site_fract_z
Nd1 Nd 0.3333 0.6667 0.3200
Nd2 Nd 0.6667 0.3333 0.6800
I1 I 0.0000 0.0000 0.0000
```

Values from the calculation:
- Crystal system: trigonal
- Relative energy among the computed polymorphs: 0 meV per atom
- Volume: 104 Å³ per cell
- M_tot: 0.59 μB/cell
- Total energy: -4.241 eV per atom

=====

No. 8
VASP calculation (PBE) on a geometry-optimized Fe2TeS3 structure.

Structure (CIF):
```
data_Fe2TeS3
_chemical_formula_sum 'Fe2 Te1 S3'
_cell_length_a 4.7788
_cell_length_b 3.3950
_cell_length_c 5.6588
_cell_angle_alpha 90.00
_cell_angle_beta 93.31
_cell_angle_gamma 90.00
_symmetry_space_group_name_H-M 'P 1'
_symmetry_Int_Tables_number 1
loop_
_symmetry_equiv_pos_as_xyz
'x,y,z'
loop_
_atom_site_label
_atom_site_type_symbol
_atom_site_fract_x
_atom_site_fract_y
_atom_site_fract_z
Fe1 Fe 0.0000 0.0000 0.0000
Fe2 Fe 0.4666 0.5000 0.5260
Te1 Te 0.7783 0.0000 0.3810
S1 S 0.2077 0.0000 0.6536
S2 S 0.2682 0.5000 0.1466
S3 S 0.7111 0.5000 0.8765
```

Values from the calculation:
- Crystal system: monoclinic
- Relative energy among the computed polymorphs: 15 meV per atom
- Volume: 92 Å³ per cell
- M_tot: 0.01 μB/cell
- Total energy: -5.674 eV per atom

=====

No. 9
VASP calculation (PBE) on a geometry-optimized NaGdCo structure.

Structure (CIF):
```
data_NaGdCo
_chemical_formula_sum 'Na1 Gd1 Co1'
_cell_length_a 4.6355
_cell_length_b 4.6355
_cell_length_c 4.6355
_cell_angle_alpha 60.00
_cell_angle_beta 60.00
_cell_angle_gamma 60.00
_symmetry_space_group_name_H-M 'P 1'
_symmetry_Int_Tables_number 1
loop_
_symmetry_equiv_pos_as_xyz
'x,y,z'
loop_
_atom_site_label
_atom_site_type_symbol
_atom_site_fract_x
_atom_site_fract_y
_atom_site_fract_z
Na1 Na 0.0000 0.0000 0.0000
Gd1 Gd 0.5000 0.5000 0.5000
Co1 Co 0.7500 0.7500 0.7500
```

Values from the calculation:
- Crystal system: cubic
- Relative energy among the computed polymorphs: 0 meV per atom
- Volume: 70 Å³ per cell
- M_tot: 0.32 μB/cell
- Total energy: -3.808 eV per atom

=====

No. 10
VASP calculation (PBE) on a geometry-optimized Sr2Ga5Pt3 structure.

Structure (CIF):
```
data_Sr2Ga5Pt3
_chemical_formula_sum 'Sr4 Ga10 Pt6'
_cell_length_a 8.7912
_cell_length_b 8.7912
_cell_length_c 8.7912
_cell_angle_alpha 106.64
_cell_angle_beta 86.99
_cell_angle_gamma 140.01
_symmetry_space_group_name_H-M 'P 1'
_symmetry_Int_Tables_number 1
loop_
_symmetry_equiv_pos_as_xyz
'x,y,z'
loop_
_atom_site_label
_atom_site_type_symbol
_atom_site_fract_x
_atom_site_fract_y
_atom_site_fract_z
Sr1 Sr 0.1346 0.2296 0.3642
Sr2 Sr 0.3654 0.7296 0.0950
Sr3 Sr 0.6346 0.2704 0.9050
Sr4 Sr 0.8654 0.7704 0.6358
Ga1 Ga 0.0329 0.7500 0.2829
Ga2 Ga 0.1002 0.6592 0.7594
Ga3 Ga 0.2500 0.2500 0.0000
Ga4 Ga 0.3998 0.1592 0.5589
Ga5 Ga 0.4671 0.7500 0.7171
Ga6 Ga 0.5329 0.2500 0.2829
Ga7 Ga 0.6002 0.8408 0.4411
Ga8 Ga 0.7500 0.7500 0.0000
Ga9 Ga 0.8998 0.3408 0.2406
Ga10 Ga 0.9671 0.2500 0.7171
Pt1 Pt 0.1402 0.8966 0.0369
Pt2 Pt 0.2500 0.7500 0.5000
Pt3 Pt 0.3598 0.3966 0.7564
Pt4 Pt 0.6402 0.6034 0.2436
Pt5 Pt 0.7500 0.2500 0.5000
Pt6 Pt 0.8598 0.1034 0.9631
```

Values from the calculation:
- Crystal system: orthorhombic
- Volume: 403 Å³ per cell
- M_tot: 0.00 μB/cell
- Total energy: -4.454 eV per atom

=====

No. 11
VASP calculation (PBE) on a geometry-optimized Tm4TcPb structure.

Structure (CIF):
```
data_Tm4TcPb
_chemical_formula_sum 'Tm8 Tc2 Pb2'
_cell_length_a 7.9744
_cell_length_b 7.9744
_cell_length_c 6.1151
_cell_angle_alpha 102.23
_cell_angle_beta 102.23
_cell_angle_gamma 112.68
_symmetry_space_group_name_H-M 'P 1'
_symmetry_Int_Tables_number 1
loop_
_symmetry_equiv_pos_as_xyz
'x,y,z'
loop_
_atom_site_label
_atom_site_type_symbol
_atom_site_fract_x
_atom_site_fract_y
_atom_site_fract_z
Tm1 Tm 0.0571 0.7245 0.9396
Tm2 Tm 0.2027 0.3453 0.6490
Tm3 Tm 0.2755 0.9429 0.5604
Tm4 Tm 0.3453 0.2027 0.1490
Tm5 Tm 0.6547 0.7973 0.8510
Tm6 Tm 0.7245 0.0571 0.4396
Tm7 Tm 0.7973 0.6547 0.3510
Tm8 Tm 0.9429 0.2755 0.0604
Tc1 Tc 0.0001 0.9999 0.2500
Tc2 Tc 0.9999 0.0001 0.7500
Pb1 Pb 0.3701 0.6299 0.2500
Pb2 Pb 0.6299 0.3701 0.7500
```

Values from the calculation:
- Crystal system: monoclinic
- Volume: 332 Å³ per cell
- M_tot: 0.04 μB/cell
- Total energy: -5.630 eV per atom

=====

No. 12
VASP calculation (PBE) on a geometry-optimized SmZnB structure.

Structure (CIF):
```
data_SmZnB
_chemical_formula_sum 'Sm1 Zn1 B1'
_cell_length_a 4.3027
_cell_length_b 4.3027
_cell_length_c 4.3027
_cell_angle_alpha 60.00
_cell_angle_beta 60.00
_cell_angle_gamma 60.00
_symmetry_space_group_name_H-M 'P 1'
_symmetry_Int_Tables_number 1
loop_
_symmetry_equiv_pos_as_xyz
'x,y,z'
loop_
_atom_site_label
_atom_site_type_symbol
_atom_site_fract_x
_atom_site_fract_y
_atom_site_fract_z
Sm1 Sm 0.0000 0.0000 0.0000
Zn1 Zn 0.7500 0.7500 0.7500
B1 B 0.5000 0.5000 0.5000
```

Values from the calculation:
- Crystal system: cubic
- Relative energy among the computed polymorphs: 512 meV per atom
- Volume: 56 Å³ per cell
- M_tot: 0.00 μB/cell
- Total energy: -3.804 eV per atom

=====

Among the records above, which one has the lowest total energy?
YFeMoPb